Version a
# Ru3W4

A relaxed Ru3W4 crystal (GGA-PBE, Alexandria). Values from VASP.

Geometry as Quantum ESPRESSO input:
```
&SYSTEM
  ibrav = 0, nat = 7, ntyp = 2
/
ATOMIC_SPECIES
Ru 101.07 Ru.upf
W 183.84 W.upf
ATOMIC_POSITIONS crystal
Ru 0.292 0.292 0.000
Ru 0.000 0.000 0.000
Ru 0.708 0.708 0.000
W 0.853 0.853 0.000
W 0.573 0.573 0.000
W 0.427 0.427 0.000
W 0.147 0.147 0.000
CELL_PARAMETERS angstrom
-8.443 6.927 0.995
-8.842 5.594 -3.283
7.324 -7.962 1.797
```

- Space group: No. 139

Version b
# Ru3W4

A relaxed Ru3W4 crystal (GGA-PBE, Alexandria). Values from VASP.

Geometry as Quantum ESPRESSO input:
```
&SYSTEM
  ibrav = 0, nat = 7, ntyp = 2
/
ATOMIC_SPECIES
Ru 101.07 Ru.upf
W 183.84 W.upf
ATOMIC_POSITIONS crystal
Ru 0.500 0.500 0.000
Ru 0.000 0.500 0.000
Ru 0.500 0.000 0.000
W 0.000 0.000 0.744
W 0.000 0.000 0.256
W 0.667 0.333 0.500
W 0.333 0.667 0.500
CELL_PARAMETERS angstrom
-3.900 3.214 0.212
-0.200 -4.021 -3.062
-1.983 -2.644 3.601
```

- Space group: No. 191

Which of them is most stable, and which least? Most stable: version b; least stable: version a.

Version a
# Y3RuW

A relaxed Y3RuW crystal (GGA-PBE, Alexandria). Values from VASP.

Geometry as Quantum ESPRESSO input:
```
&SYSTEM
  ibrav = 0, nat = 5, ntyp = 3
/
ATOMIC_SPECIES
Y 88.91 Y.upf
W 183.84 W.upf
Ru 101.07 Ru.upf
ATOMIC_POSITIONS crystal
Y 0.000 0.500 0.000
Y 0.500 0.000 0.000
Y 0.000 0.000 0.500
W 0.500 0.500 0.500
Ru 0.000 0.000 0.000
CELL_PARAMETERS angstrom
-1.480 -3.569 -3.418
4.892 -1.560 -0.490
-0.695 -3.382 3.832
```

- Space group: No. 221

Version b
# Y3RuW

A relaxed Y3RuW crystal (GGA-PBE, Alexandria). Values from VASP.

Geometry as Quantum ESPRESSO input:
```
&SYSTEM
  ibrav = 0, nat = 5, ntyp = 3
/
ATOMIC_SPECIES
Y 88.91 Y.upf
Ru 101.07 Ru.upf
W 183.84 W.upf
ATOMIC_POSITIONS crystal
Y 0.000 0.500 0.000
Y 0.500 0.000 0.000
Y 0.000 0.000 0.500
Ru 0.500 0.500 0.500
W 0.000 0.000 0.000
CELL_PARAMETERS angstrom
5.284 0.000 0.000
0.000 5.284 0.000
0.000 0.000 5.284
```

- Space group: No. 221

Which of them is most stable, and which least? Most stable: version a; least stable: version b.